Record 1
The following is a PBE-GGA calculation of a relaxed Ta2Tl crystal, from Alexandria.

Properties
ΔH_f (0 K) ... 0.4726 eV/atom
Space group ... No. 12

abc: 5.771 5.771 8.041
angles: 114.61 114.61 30.67
Fractional positions:
Ta (0.040, 0.040, 0.290)
Ta (0.371, 0.371, 0.993)
Ta (0.629, 0.629, 0.007)
Ta (0.960, 0.960, 0.710)
Tl (0.323, 0.323, 0.351)
Tl (0.677, 0.677, 0.649)


Record 2
The following is a PBE-GGA calculation of a relaxed Zn2SiGe crystal, from Alexandria.

Properties
Formation energy (no corrections) ... 0.32 eV per atom
Space group ... No. 122
Energy relative to the lowest polymorph listed for this composition ... 0.00 eV/f.u.

abc: 5.790 5.790 5.790
angles: 101.92 101.92 125.94
Fractional positions:
Zn (0.106, 0.625, 0.981)
Zn (0.375, 0.356, 0.481)
Zn (0.644, 0.125, 0.019)
Zn (0.875, 0.894, 0.519)
Si (0.000, 0.000, 0.000)
Si (0.750, 0.250, 0.500)
Ge (0.250, 0.750, 0.500)
Ge (0.500, 0.500, 0.000)


Repeat the first record exactly.
The following is a PBE-GGA calculation of a relaxed Ta2Tl crystal, from Alexandria.

Properties
ΔH_f (0 K) ... 0.4726 eV/atom
Space group ... No. 12

abc: 5.771 5.771 8.041
angles: 114.61 114.61 30.67
Fractional positions:
Ta (0.040, 0.040, 0.290)
Ta (0.371, 0.371, 0.993)
Ta (0.629, 0.629, 0.007)
Ta (0.960, 0.960, 0.710)
Tl (0.323, 0.323, 0.351)
Tl (0.677, 0.677, 0.649)


What did the first record say?
The following is a PBE-GGA calculation of a relaxed Ta2Tl crystal, from Alexandria.

Properties
ΔH_f (0 K) ... 0.4726 eV/atom
Space group ... No. 12

abc: 5.771 5.771 8.041
angles: 114.61 114.61 30.67
Fractional positions:
Ta (0.040, 0.040, 0.290)
Ta (0.371, 0.371, 0.993)
Ta (0.629, 0.629, 0.007)
Ta (0.960, 0.960, 0.710)
Tl (0.323, 0.323, 0.351)
Tl (0.677, 0.677, 0.649)